Ba4Ge2F5 | PBE | optimized geometry

Computed properties:
Formation energy without anion corrections: -59.28 kcal/mol of atoms
DOS(E_F): 3.50 states/eV/f.u.
SG: C2/m (12)

Cell lengths 4.222, 6.559, 11.926 Å; angles 117.81, 100.20, 90.00 degrees
Fractional coordinates of all 11 atoms:
Ba 0.927 0.071 0.853
Ba 0.073 0.929 0.147
Ba 0.703 0.669 0.405
Ba 0.297 0.331 0.595
F 0.190 0.388 0.380
F 0.194 0.917 0.387
F 0.500 0.000 0.000
F 0.810 0.612 0.620
F 0.806 0.083 0.613
Ge 0.548 0.496 0.096
Ge 0.452 0.504 0.904

SmYGa2 | PBE | optimized geometry

Computed properties:
DOS(E_F): 1.68 states/eV/f.u.
E above lowest polymorph: 43 meV/atom
SG: P4/mmm (123)
ΔH_f (0 K): -0.59 eV per atom

Cell lengths 3.615, 3.615, 7.224 Å; angles 90.00, 90.00, 90.00 degrees
Fractional coordinates of all 4 atoms:
Ga 0.000 0.000 0.258
Ga 0.000 0.000 0.742
Y 0.500 0.500 0.500
Sm 0.500 0.500 0.000

LaTcBIr2 | PBE | optimized geometry

Computed properties:
DOS(E_F): 6.45 states/eV/f.u.
SG: P4/mmm (123)
ΔH_f (0 K): 2.43 eV per atom

Cell lengths 4.936, 4.550, 4.936 Å; angles 90.00, 90.00, 90.00 degrees
Fractional coordinates of all 5 atoms:
Ir 0.500 0.000 0.000
Ir 0.000 0.000 0.500
B 0.000 0.500 0.000
Tc 0.500 0.500 0.500
La 0.000 0.000 0.000

SrP3Br | PBE | optimized geometry

Computed properties:
Formation energy without anion corrections: 31.71 kcal/mol of atoms
DOS(E_F): 5.33 states/eV/f.u.
E above lowest polymorph: 794 meV/atom
SG: Pm-3m (221)

Cell lengths 5.732, 5.732, 5.732 Å; angles 90.00, 90.00, 90.00 degrees
Fractional coordinates of all 5 atoms:
P 0.500 0.000 0.000
P 0.000 0.500 0.000
P 0.000 0.000 0.500
Br 0.500 0.500 0.500
Sr 0.000 0.000 0.000

Pr2Sm2Pt15 | PBE | optimized geometry

Computed properties:
DOS(E_F): 16.77 states/eV/f.u.
SG: R-3m (166)
ΔH_f (0 K): -0.70 eV per atom

Cell lengths 7.147, 7.147, 7.147 Å; angles 82.58, 82.58, 82.58 degrees
Fractional coordinates of all 19 atoms:
Sm 0.106 0.106 0.106
Sm 0.894 0.894 0.894
Pt 0.686 0.000 0.314
Pt 0.000 0.500 0.000
Pt 0.000 0.000 0.500
Pt 0.314 0.000 0.686
Pt 0.314 0.686 0.000
Pt 0.500 0.000 0.000
Pt 0.653 0.653 0.162
Pt 0.162 0.653 0.653
Pt 0.347 0.838 0.347
Pt 0.347 0.347 0.838
Pt 0.000 0.686 0.314
Pt 0.653 0.162 0.653
Pt 0.000 0.314 0.686
Pt 0.686 0.314 0.000
Pt 0.838 0.347 0.347
Pr 0.359 0.359 0.359
Pr 0.641 0.641 0.641

Tm6Sc2Pb | PBE | optimized geometry

Computed properties:
DOS(E_F): 13.32 states/eV/f.u.
SG: C2/m (12)
ΔH_f (0 K): 0.00 eV per atom

Cell lengths 3.397, 8.357, 9.636 Å; angles 77.54, 79.85, 78.27 degrees
Fractional coordinates of all 9 atoms:
Tm 0.227 0.659 0.887
Tm 0.953 0.339 0.756
Tm 0.773 0.341 0.113
Tm 0.613 0.325 0.449
Tm 0.387 0.675 0.551
Tm 0.047 0.661 0.244
Sc 0.323 0.018 0.336
Sc 0.677 0.982 0.664
Pb 0.000 0.000 0.000

BaTl4Pd4 | PBE | optimized geometry

Computed properties:
DOS(E_F): 4.44 states/eV/f.u.
E above lowest polymorph: 38 meV/atom
SG: P4_2/n (86)
ΔH_f (0 K): -0.24 eV per atom

Cell lengths 5.545, 9.290, 9.290 Å; angles 90.00, 90.00, 90.00 degrees
Fractional coordinates of all 18 atoms:
Pd 0.911 0.679 0.162
Pd 0.589 0.179 0.662
Pd 0.089 0.838 0.679
Pd 0.911 0.321 0.838
Pd 0.589 0.821 0.338
Pd 0.411 0.662 0.821
Pd 0.089 0.162 0.321
Pd 0.411 0.338 0.179
Ba 0.500 0.500 0.500
Ba 0.000 0.000 0.000
Tl 0.410 0.643 0.121
Tl 0.090 0.143 0.621
Tl 0.590 0.121 0.357
Tl 0.410 0.357 0.879
Tl 0.590 0.879 0.643
Tl 0.910 0.379 0.143
Tl 0.910 0.621 0.857
Tl 0.090 0.857 0.379

LiPr2Pd6Au | PBE | optimized geometry

Computed properties:
DOS(E_F): 5.32 states/eV/f.u.
SG: P-1 (2)
ΔH_f (0 K): -0.53 eV per atom

Cell lengths 9.217, 5.446, 6.714 Å; angles 66.23, 44.63, 89.94 degrees
Fractional coordinates of all 10 atoms:
Pd 0.817 0.305 0.884
Pd 0.567 0.756 0.488
Pd 0.817 0.810 0.883
Pd 0.183 0.190 0.117
Pd 0.433 0.244 0.512
Pd 0.183 0.695 0.116
Pr 0.254 0.754 0.490
Pr 0.746 0.246 0.510
Au 0.500 0.500 0.000
Li 0.000 0.000 0.000

> Among the records above, which one has the lowest DOS(E_F)?

SmYGa2